# 1
The following is a DFT calculation (meta-GGA SCAN) of a crystal of BeAuCl2 relaxed with PBEsol.

Computed properties:
Energy above the lowest structure with this stoichiometry = 1216 meV/atom
ΔE_f (raw) = 0.53 eV/atom

Cell lengths 6.4557, 6.4557, 6.4557 Å; angles 90.00, 90.00, 90.00 degrees
With the nearest neighbours (Å) after each atom.
Space group F-43m (No. 216)
Symmetry-distinct sites (fractional):
Be1 0.0000 0.0000 0.0000 x4  4 Cl 2.80, 4 Au 2.80
Au1 0.2500 0.2500 0.7500 x4  4 Cl 2.80, 4 Be 2.80
Cl1 0.0000 0.0000 0.5000 x4  4 Cl 2.80, 4 Au 2.80
Cl2 0.2500 0.2500 0.2500 x4  4 Cl 2.80, 4 Be 2.80

# 2
The following is a DFT calculation (meta-GGA SCAN) of a crystal of Zn2CuPt relaxed with PBEsol.

Computed properties:
Energy relative to the elements = -0.33 eV/atom

Cell lengths 2.8943, 2.8943, 6.2977 Å; angles 90.00, 90.00, 90.00 degrees
With the nearest neighbours (Å) after each atom.
Space group P4/mmm (No. 123)
Symmetry-distinct sites (fractional):
Zn1 0.0000 0.0000 0.2359 x2  4 Cu 2.53, 4 Pt 2.64
Cu1 0.5000 0.5000 0.0000 x1  8 Zn 2.53
Pt1 0.5000 0.5000 0.5000 x1  8 Zn 2.64, 4 Pt 2.89

# 3
The following is a DFT calculation (meta-GGA SCAN) of a crystal of TlAsPb2 relaxed with PBEsol.

Computed properties:
Energy above the lowest structure with this stoichiometry = 9 meV/atom
Energy relative to the elements = 0.04 eV/atom

Cell lengths 11.5369, 3.9313, 5.4352 Å; angles 90.00, 116.31, 90.00 degrees
With the nearest neighbours (Å) after each atom.
Space group Cm (No. 8)
Symmetry-distinct sites (fractional):
Tl1 0.0000 0.0000 0.0000 x2  2 As 3.10, 5 Pb 3.32-3.46
As1 0.2194 0.5000 0.3523 x2  4 Pb 2.94, 2 Tl 3.10
Pb1 0.2163 0.0000 0.7520 x2  2 As 2.94
Pb2 0.4221 0.0000 0.4252 x2  2 As 2.94

# 4
The following is a DFT calculation (meta-GGA SCAN) of a crystal of Ag9PSe6 relaxed with PBEsol.

Computed properties:
ΔE_f (raw) = -0.05 eV/atom

Cell lengths 10.9735, 10.9735, 10.9735 Å; angles 90.00, 90.00, 90.00 degrees
With the nearest neighbours (Å) after each atom.
Space group P2_13 (No. 198)
Symmetry-distinct sites (fractional):
Ag1 0.0547 0.0972 0.6547 x12  3 Se 2.65-2.81, 4 Ag 2.83-2.91
Ag2 0.0582 0.7097 0.3032 x12  2 Se 2.52-2.55
Ag3 0.0696 0.8225 0.6493 x12  3 Se 2.61-2.67, 1 Ag 2.86
P1 0.0095 0.4905 0.5095 x4  3 Se 2.29
Se1 0.0524 0.9476 0.4476 x4  6 Ag 2.61-2.80
Se2 0.0856 0.8328 0.8915 x12  1 P 2.29
Se3 0.1643 0.1643 0.1643 x4  3 Ag 2.52
Se4 0.2242 0.2758 0.7242 x4  6 Ag 2.55-2.81